Material: La4PrEr15
Method: DFT, GGA-PBE
State: optimized geometry

Cell lengths 5.066, 5.066, 25.063 Å; angles 90.00, 90.00, 90.00 degrees
Fractional coordinates of all 20 atoms:
1 Er 0.500 0.000 0.300
2 Er 0.000 0.500 0.901
3 Er 0.500 0.500 0.400
4 Er 0.500 0.000 0.700
5 Er 0.000 0.500 0.500
6 Er 0.500 0.000 0.099
7 Er 0.500 0.500 0.600
8 Er 0.500 0.000 0.500
9 Er 0.000 0.500 0.300
10 Er 0.000 0.500 0.700
11 Er 0.500 0.000 0.901
12 Er 0.500 0.500 0.801
13 Er 0.000 0.500 0.099
14 Er 0.500 0.500 0.199
15 Er 0.500 0.500 0.000
16 La 0.000 0.000 0.200
17 La 0.000 0.000 0.800
18 La 0.000 0.000 0.400
19 La 0.000 0.000 0.600
20 Pr 0.000 0.000 0.000

Properties
- raw total energy (eV/atom) = -4.6118
- formation energy from the elements (eV per atom) = 0.035
- space group = P4/mmm, No. 123